(1)
# PBE SmGdLuMg, optimized geometry
data_SmGdLuMg
_chemical_formula_sum 'Sm4 Gd4 Lu4 Mg4'
_cell_length_a 7.7883
_cell_length_b 7.7883
_cell_length_c 7.7883
_cell_angle_alpha 90.00
_cell_angle_beta 90.00
_cell_angle_gamma 90.00
_space_group_name_H-M_alt 'F -4 3 m'
_space_group_IT_number 216
_space_group_name_Hall 'F -4 2 3'
loop_
_atom_site_label
_atom_site_type_symbol
_atom_site_fract_x
_atom_site_fract_y
_atom_site_fract_z
Sm1 Sm 0.0000 0.0000 0.0000
Gd1 Gd 0.0000 0.0000 0.5000
Lu1 Lu 0.2500 0.2500 0.7500
Mg1 Mg 0.2500 0.2500 0.2500
# crystal system	cubic
# calculated formation energy	0.011	eV per atom

---

(2)
# PBE LaMg2W, optimized geometry
data_LaMg2W
_chemical_formula_sum 'La3 Mg6 W3'
_cell_length_a 3.0561
_cell_length_b 3.0561
_cell_length_c 33.1607
_cell_angle_alpha 90.00
_cell_angle_beta 90.00
_cell_angle_gamma 120.00
_space_group_name_H-M_alt 'R 3 m'
_space_group_IT_number 160
_space_group_name_Hall 'R 3 -2"'
loop_
_atom_site_label
_atom_site_type_symbol
_atom_site_fract_x
_atom_site_fract_y
_atom_site_fract_z
La1 La 0.0000 0.0000 0.0000
Mg1 Mg 0.0000 0.0000 0.5116
Mg2 Mg 0.0000 0.0000 0.7627
W1 W 0.0000 0.0000 0.2484
# excess energy over the best structure of this formula in the dataset	111	meV/atom
# crystal system	trigonal
# calculated formation energy	0.501	eV per atom

---

(3)
# PBE Sm6Er2Tm3In, optimized geometry
data_Sm6Er2Tm3In
_chemical_formula_sum 'Sm12 Er4 Tm6 In2'
_cell_length_a 6.1278
_cell_length_b 10.6242
_cell_length_c 11.6604
_cell_angle_alpha 90.00
_cell_angle_beta 100.14
_cell_angle_gamma 90.00
_space_group_name_H-M_alt 'C 1 2/m 1'
_space_group_IT_number 12
loop_
_space_group_symop_operation_xyz
'x,y,z'
'-x,-y,-z'
'-x,y,-z'
'x,-y,z'
'x+1/2,y+1/2,z'
'-x+1/2,-y+1/2,-z'
'-x+1/2,y+1/2,-z'
'x+1/2,-y+1/2,z'
loop_
_atom_site_label
_atom_site_type_symbol
_atom_site_fract_x
_atom_site_fract_y
_atom_site_fract_z
Sm1 Sm 0.2452 0.0000 0.2502
Sm2 Sm 0.2471 0.1643 0.7487
Er1 Er 0.0000 0.3336 0.5000
Tm1 Tm 0.0000 0.1674 0.0000
Tm2 Tm 0.0000 0.5000 0.0000
In1 In 0.0000 0.0000 0.5000
# crystal system	monoclinic
# calculated formation energy	-0.034	eV per atom

---

(4)
# PBE GdDyIrPb, optimized geometry
data_GdDyIrPb
_chemical_formula_sum 'Gd4 Dy4 Ir4 Pb4'
_cell_length_a 7.2959
_cell_length_b 7.2959
_cell_length_c 7.2959
_cell_angle_alpha 90.00
_cell_angle_beta 90.00
_cell_angle_gamma 90.00
_space_group_name_H-M_alt 'F -4 3 m'
_space_group_IT_number 216
_space_group_name_Hall 'F -4 2 3'
loop_
_atom_site_label
_atom_site_type_symbol
_atom_site_fract_x
_atom_site_fract_y
_atom_site_fract_z
Gd1 Gd 0.0000 0.0000 0.0000
Dy1 Dy 0.0000 0.0000 0.5000
Ir1 Ir 0.2500 0.2500 0.7500
Pb1 Pb 0.2500 0.2500 0.2500
# crystal system	cubic
# calculated formation energy	-0.469	eV per atom

---

(5)
# PBE SrTi2Sn2, optimized geometry
data_SrTi2Sn2
_chemical_formula_sum 'Sr1 Ti2 Sn2'
_cell_length_a 5.0154
_cell_length_b 5.0154
_cell_length_c 5.7564
_cell_angle_alpha 90.00
_cell_angle_beta 90.00
_cell_angle_gamma 90.00
_space_group_name_H-M_alt 'P 4/m m m'
_space_group_IT_number 123
_space_group_name_Hall '-P 4 2'
loop_
_atom_site_label
_atom_site_type_symbol
_atom_site_fract_x
_atom_site_fract_y
_atom_site_fract_z
Sr1 Sr 0.0000 0.0000 0.0000
Ti1 Ti 0.0000 0.5000 0.0000
Sn1 Sn 0.0000 0.0000 0.5000
Sn2 Sn 0.5000 0.5000 0.5000
# excess energy over the best structure of this formula in the dataset	1878	meV/atom
# crystal system	tetragonal
# calculated formation energy	1.576	eV per atom

---

(6)
# PBE ZnIn2Ir, optimized geometry
data_ZnIn2Ir
_chemical_formula_sum 'Zn4 In8 Ir4'
_cell_length_a 10.0904
_cell_length_b 10.0904
_cell_length_c 4.9141
_cell_angle_alpha 90.00
_cell_angle_beta 90.00
_cell_angle_gamma 90.00
_space_group_name_H-M_alt 'I -4 2 d'
_space_group_IT_number 122
_space_group_name_Hall 'I -4 2bw'
loop_
_atom_site_label
_atom_site_type_symbol
_atom_site_fract_x
_atom_site_fract_y
_atom_site_fract_z
Zn1 Zn 0.0000 0.0000 0.0000
In1 In 0.0005 0.2500 0.6250
Ir1 Ir 0.0000 0.0000 0.5000
# crystal system	tetragonal
# calculated formation energy	-0.005	eV per atom